[1]
Below is a geometry-optimized Pr4Mn2As5 structure, with properties calculated at the GGA-PBE level.

Unit cell a=4.2106 b=4.2106 c=17.5896 alpha=90.00 beta=90.00 gamma=120.00
Last column: nearest neighbours and their distance in Å.
Atoms (fractional coordinates):
1 Pr 0.6667 0.3333 0.8987  6 As 3.01-3.03
2 Pr 0.3333 0.6667 0.1013  6 As 3.01-3.03
3 Pr 0.0000 0.0000 0.6970  6 As 2.99-3.08
4 Pr 0.0000 0.0000 0.3030  6 As 2.99-3.08
5 Mn 0.6667 0.3333 0.4519  4 As 2.42-2.54
6 Mn 0.3333 0.6667 0.5481  4 As 2.42-2.54
7 As 0.6667 0.3333 0.5893  4 Mn 2.42-2.54
8 As 0.3333 0.6667 0.4107  4 Mn 2.42-2.54
9 As 0.6667 0.3333 0.2038  6 Pr 2.99-3.03
10 As 0.3333 0.6667 0.7962  6 Pr 2.99-3.03
11 As 0.0000 0.0000 0.0000  6 Pr 3.01

Results
- energy relative to the elements (eV per atom) = -1.07
- energy (Ry per atom) = -0.484
- magnetization (Bohr magnetons per cell) = 6.1
- DOS(E_F) (states/eV per atom) = 0.512
- space group = P-3m1, No. 164
- V (Å³/atom) = 24.55

[2]
Below is a geometry-optimized PrMnAs2 structure, with properties calculated at the GGA-PBE level.

Unit cell a=4.0269 b=4.0269 c=6.4663 alpha=71.86 beta=71.86 gamma=60.00
Last column: nearest neighbours and their distance in Å.
Atoms (fractional coordinates):
1 Pr 0.5000 0.5000 0.5000  6 As 2.98
2 As 0.2697 0.2697 0.1910  3 Mn 2.59
3 As 0.7303 0.7303 0.8090  3 Mn 2.59
4 Mn 0.0000 0.0000 0.0000  6 As 2.59

Results
- energy relative to the elements (eV per atom) = -0.68
- energy (Ry per atom) = -0.477
- excess energy over the best structure of this formula in the dataset (meV per atom) = 103
- magnetization (Bohr magnetons per cell) = 2.8
- DOS(E_F) (states/eV per atom) = 0.663
- space group = R-3m, No. 166
- V (Å³/atom) = 21.18

[3]
Below is a geometry-optimized PrMnAs2 structure, with properties calculated at the GGA-PBE level.

Unit cell a=3.9142 b=3.9142 c=10.9033 alpha=100.34 beta=100.34 gamma=90.00
Last column: nearest neighbours and their distance in Å.
Atoms (fractional coordinates):
1 Pr 0.1153 0.1153 0.2306  8 As 3.08-3.12, 4 Mn 3.45
2 Pr 0.8847 0.8847 0.7694  8 As 3.08-3.12, 4 Mn 3.45
3 Mn 0.2502 0.7502 0.5000  4 As 2.45
4 Mn 0.7502 0.2502 0.5000  4 As 2.45
5 As 0.3203 0.3203 0.6402  4 Mn 2.45
6 As 0.6801 0.6801 0.3598  4 Mn 2.45
7 As 0.9990 0.4998 0.0000  4 As 2.76-2.77
8 As 0.4998 0.9990 0.0000  4 As 2.76-2.77

Results
- energy relative to the elements (eV per atom) = -0.78
- energy (Ry per atom) = -0.484
- excess energy over the best structure of this formula in the dataset (meV per atom) = 0
- magnetization (Bohr magnetons per cell) = 3.8
- DOS(E_F) (states/eV per atom) = 0.424
- space group = I4/mmm, No. 139
- V (Å³/atom) = 20.20

[4]
Below is a geometry-optimized Pr2MnAs4Pt3 structure, with properties calculated at the GGA-PBE level.

Unit cell a=4.4236 b=4.4236 c=10.1216 alpha=90.00 beta=90.00 gamma=90.00
Last column: nearest neighbours and their distance in Å.
Atoms (fractional coordinates):
1 Pr 0.5000 0.0000 0.2448  8 As 3.32-3.37, 6 Pt 3.36-3.40, 2 Mn 3.40
2 Pr 0.0000 0.5000 0.7552  8 As 3.32-3.37, 6 Pt 3.36-3.40, 2 Mn 3.40
3 Mn 0.5000 0.5000 0.5000  4 As 2.57
4 As 0.5000 0.5000 0.0000  4 Pt 2.54
5 As 0.0000 0.0000 0.0000  4 Pt 2.54
6 As 0.5000 0.0000 0.6300  3 Pt 2.50-2.57, 2 Mn 2.57
7 As 0.0000 0.5000 0.3700  3 Pt 2.50-2.57, 2 Mn 2.57
8 Pt 0.0000 0.0000 0.5000  4 As 2.57
9 Pt 0.5000 0.0000 0.8768  5 As 2.50-2.54
10 Pt 0.0000 0.5000 0.1232  5 As 2.50-2.54

Results
- energy relative to the elements (eV per atom) = -0.82
- energy (Ry per atom) = -0.468
- magnetization (Bohr magnetons per cell) = 3.6
- DOS(E_F) (states/eV per atom) = 0.470
- space group = P-4m2, No. 115
- V (Å³/atom) = 19.81

[5]
Below is a geometry-optimized Pr2MnAs4Rh3 structure, with properties calculated at the GGA-PBE level.

Unit cell a=4.3153 b=4.3153 c=10.1106 alpha=90.00 beta=90.00 gamma=90.00
Last column: nearest neighbours and their distance in Å.
Atoms (fractional coordinates):
1 Pr 0.5000 0.0000 0.2432  8 As 3.27-3.29, 6 Rh 3.30-3.38, 2 Mn 3.38
2 Pr 0.0000 0.5000 0.7568  8 As 3.27-3.29, 6 Rh 3.30-3.38, 2 Mn 3.38
3 Mn 0.5000 0.5000 0.5000  4 As 2.55
4 As 0.5000 0.5000 0.0000  4 Rh 2.47
5 As 0.0000 0.0000 0.0000  4 Rh 2.47
6 As 0.5000 0.0000 0.6352  3 Rh 2.48-2.55, 2 Mn 2.55
7 As 0.0000 0.5000 0.3648  3 Rh 2.48-2.55, 2 Mn 2.55
8 Rh 0.0000 0.0000 0.5000  4 As 2.55
9 Rh 0.5000 0.0000 0.8806  5 As 2.47-2.48
10 Rh 0.0000 0.5000 0.1194  5 As 2.47-2.48

Results
- energy relative to the elements (eV per atom) = -0.85
- energy (Ry per atom) = -0.499
- magnetization (Bohr magnetons per cell) = 3.4
- DOS(E_F) (states/eV per atom) = 0.554
- space group = P-4m2, No. 115
- V (Å³/atom) = 18.83

[6]
Below is a geometry-optimized Mn3AsPt structure, with properties calculated at the GGA-PBE level.

Unit cell a=4.2535 b=4.2535 c=4.2535 alpha=90.00 beta=90.00 gamma=90.00
Last column: nearest neighbours and their distance in Å.
Atoms (fractional coordinates):
1 As 0.0000 0.0000 0.0000  6 Mn 2.13
2 Mn 0.0000 0.5000 0.0000  2 As 2.13
3 Mn 0.0000 0.0000 0.5000  2 As 2.13
4 Mn 0.5000 0.0000 0.0000  2 As 2.13
5 Pt 0.5000 0.5000 0.5000  12 Mn 3.01

Results
- energy relative to the elements (eV per atom) = 1.08
- energy (Ry per atom) = -0.482
- excess energy over the best structure of this formula in the dataset (meV per atom) = 354
- magnetization (Bohr magnetons per cell) = 0.0
- DOS(E_F) (states/eV per atom) = 2.546
- space group = Pm-3m, No. 221
- V (Å³/atom) = 15.39

[7]
Below is a geometry-optimized MnAs3Pt structure, with properties calculated at the GGA-PBE level.

Unit cell a=4.5279 b=4.5279 c=4.5279 alpha=90.00 beta=90.00 gamma=90.00
Last column: nearest neighbours and their distance in Å.
Atoms (fractional coordinates):
1 As 0.0000 0.5000 0.0000  2 Mn 2.26
2 As 0.0000 0.0000 0.5000  2 Mn 2.26
3 As 0.5000 0.0000 0.0000  2 Mn 2.26
4 Mn 0.0000 0.0000 0.0000  6 As 2.26
5 Pt 0.5000 0.5000 0.5000  12 As 3.20

Results
- energy relative to the elements (eV per atom) = 0.45
- energy (Ry per atom) = -0.396
- excess energy over the best structure of this formula in the dataset (meV per atom) = 0
- magnetization (Bohr magnetons per cell) = 1.0
- DOS(E_F) (states/eV per atom) = 0.636
- space group = Pm-3m, No. 221
- V (Å³/atom) = 18.57

[8]
Below is a geometry-optimized MnAsPt2 structure, with properties calculated at the GGA-PBE level.

Unit cell a=8.7119 b=8.7119 c=8.7119 alpha=19.43 beta=19.43 gamma=19.43
Last column: nearest neighbours and their distance in Å.
Atoms (fractional coordinates):
1 As 0.2500 0.2500 0.2500  6 Pt 2.78, 6 As 2.94
2 Mn 0.7500 0.7500 0.7500  6 Pt 2.67, 6 Mn 2.94
3 Pt 0.0027 0.0027 0.0027  3 Mn 2.67, 3 As 2.78, 6 Pt 2.94
4 Pt 0.4973 0.4973 0.4973  3 Mn 2.67, 3 As 2.78, 6 Pt 2.94

Results
- energy relative to the elements (eV per atom) = -0.09
- energy (Ry per atom) = -0.483
- magnetization (Bohr magnetons per cell) = 4.0
- DOS(E_F) (states/eV per atom) = 0.689
- space group = R-3m, No. 166
- V (Å³/atom) = 15.99

[9]
Below is a geometry-optimized MnAsPt2 structure, with properties calculated at the GGA-PBE level.

Unit cell a=4.6507 b=4.6507 c=4.7556 alpha=79.63 beta=79.63 gamma=38.63
Last column: nearest neighbours and their distance in Å.
Atoms (fractional coordinates):
1 As 0.7500 0.7500 0.7500  6 Pt 2.67-2.80, 4 Mn 2.83
2 Mn 0.2500 0.2500 0.2500  6 Pt 2.71-2.72, 4 As 2.83
3 Pt 0.9949 0.9949 0.0072  3 As 2.67-2.80, 3 Mn 2.71-2.72, 4 Pt 2.79-2.88
4 Pt 0.5051 0.5051 0.4928  3 As 2.67-2.80, 3 Mn 2.71-2.72, 4 Pt 2.79-2.88

Results
- energy relative to the elements (eV per atom) = -0.19
- energy (Ry per atom) = -0.490
- magnetization (Bohr magnetons per cell) = 4.0
- DOS(E_F) (states/eV per atom) = 0.456
- space group = C2/m, No. 12
- V (Å³/atom) = 15.76

[10]
Below is a geometry-optimized MnAsPt2 structure, with properties calculated at the GGA-PBE level.

Unit cell a=2.9677 b=2.9677 c=7.2197 alpha=90.00 beta=90.00 gamma=90.00
Last column: nearest neighbours and their distance in Å.
Atoms (fractional coordinates):
1 As 0.5000 0.5000 0.2500  8 Pt 2.82, 4 As 2.97
2 Mn 0.5000 0.5000 0.7500  8 Pt 2.71, 4 Mn 2.97
3 Pt 0.0000 0.0000 0.9882  4 Mn 2.71, 4 As 2.82, 4 Pt 2.97
4 Pt 0.0000 0.0000 0.5118  4 Mn 2.71, 4 As 2.82, 4 Pt 2.97

Results
- energy relative to the elements (eV per atom) = -0.19
- energy (Ry per atom) = -0.490
- magnetization (Bohr magnetons per cell) = 4.3
- DOS(E_F) (states/eV per atom) = 0.235
- space group = P4/mmm, No. 123
- V (Å³/atom) = 15.90

[11]
Below is a geometry-optimized MnAsPt2 structure, with properties calculated at the GGA-PBE level.

Unit cell a=4.8829 b=4.8829 c=4.8829 alpha=132.29 beta=132.29 gamma=69.78
Last column: nearest neighbours and their distance in Å.
Atoms (fractional coordinates):
1 As 0.2500 0.7500 0.5000  4 Mn 2.79, 8 Pt 2.81
2 Mn 0.7500 0.2500 0.5000  4 As 2.79, 8 Pt 2.81
3 Pt 0.0000 0.0000 0.0000  4 Pt 2.79, 4 Mn 2.81, 4 As 2.81
4 Pt 0.5000 0.5000 0.0000  4 Pt 2.79, 4 As 2.81, 4 Mn 2.81

Results
- energy relative to the elements (eV per atom) = -0.20
- energy (Ry per atom) = -0.491
- magnetization (Bohr magnetons per cell) = 4.0
- DOS(E_F) (states/eV per atom) = 0.513
- space group = I4/mmm, No. 139
- V (Å³/atom) = 15.62

[12]
Below is a geometry-optimized MnAsPt2 structure, with properties calculated at the GGA-PBE level.

Unit cell a=4.8223 b=4.8223 c=4.2207 alpha=71.95 beta=71.95 gamma=43.76
Last column: nearest neighbours and their distance in Å.
Atoms (fractional coordinates):
1 As 0.4902 0.4902 0.5481  7 Pt 2.65-2.79, 4 Mn 2.90-2.92
2 Mn 0.2528 0.2528 0.2142  7 Pt 2.62-2.80, 4 As 2.90-2.92
3 Pt 0.9983 0.9983 0.0377  3 Mn 2.62-2.74, 4 As 2.76-2.79, 3 Pt 2.90-2.91
4 Pt 0.7587 0.7587 0.7000  3 As 2.65-2.69, 4 Mn 2.74-2.80, 4 Pt 2.90-2.94

Results
- energy relative to the elements (eV per atom) = -0.18
- energy (Ry per atom) = -0.489
- magnetization (Bohr magnetons per cell) = 4.4
- DOS(E_F) (states/eV per atom) = 0.586
- space group = Cm, No. 8
- V (Å³/atom) = 16.00

[13]
Below is a geometry-optimized MnAsPt2 structure, with properties calculated at the GGA-PBE level.

Unit cell a=3.4933 b=3.4933 c=5.3404 alpha=90.00 beta=90.00 gamma=90.00
Last column: nearest neighbours and their distance in Å.
Atoms (fractional coordinates):
1 As 0.0000 0.0000 0.4604  6 Pt 2.62-2.72
2 Mn 0.5000 0.5000 0.7844  6 Pt 2.66-2.67
3 Pt 0.0000 0.0000 0.9699  2 As 2.62-2.72, 4 Mn 2.66
4 Pt 0.5000 0.5000 0.2852  4 As 2.64, 2 Mn 2.67

Results
- energy relative to the elements (eV per atom) = -0.17
- energy (Ry per atom) = -0.488
- magnetization (Bohr magnetons per cell) = 4.2
- DOS(E_F) (states/eV per atom) = 0.648
- space group = P4mm, No. 99
- V (Å³/atom) = 16.29

[14]
Below is a geometry-optimized MnAsPt2 structure, with properties calculated at the GGA-PBE level.

Unit cell a=5.5174 b=5.5174 c=6.7289 alpha=65.80 beta=65.80 gamma=90.00
Last column: nearest neighbours and their distance in Å.
Atoms (fractional coordinates):
1 As 0.0000 0.0000 0.0000  4 Pt 2.44
2 As 0.7500 0.2500 0.5000  4 Pt 2.44
3 Mn 0.5000 0.5000 0.0000  4 Pt 2.33
4 Mn 0.2500 0.7500 0.5000  4 Pt 2.33
5 Pt 0.6080 0.1250 0.2500  2 Mn 2.33, 2 As 2.44
6 Pt 0.1420 0.6250 0.2500  2 Mn 2.33, 2 As 2.44
7 Pt 0.3750 0.3920 0.7500  2 Mn 2.33, 2 As 2.44
8 Pt 0.8750 0.8580 0.7500  2 Mn 2.33, 2 As 2.44

Results
- energy relative to the elements (eV per atom) = 0.45
- energy (Ry per atom) = -0.443
- magnetization (Bohr magnetons per cell) = 0.0
- DOS(E_F) (states/eV per atom) = 1.083
- space group = I-42d, No. 122
- V (Å³/atom) = 20.86